1.
CdReSeN2 (PBE, relaxed); E_form (uncorrected) = 322 meV/atom; calculated density = 8059 kg/m3; space-group type = P4/mmm; energy relative to the lowest polymorph listed for this composition = 0.0000 eV/atom; DFT total energy = -0.234 Ha/atom
1.0
3.875 0.000 0.000
0.000 3.875 0.000
0.000 0.000 5.567
Cd Re Se N
1 1 1 2
Direct
0.000 0.000 0.000 Cd
0.500 0.500 0.500 Re
0.500 0.500 0.000 Se
0.000 0.500 0.500 N
0.500 0.000 0.500 N

***

2.
LaPrEr5 (PBE, relaxed); formation enthalpy at 0 K = 0.20 eV per atom; calculated density = 8000 kg/m3; space-group type = C2/c; energy relative to the lowest polymorph listed for this composition = 0.0000 eV/atom; DFT total energy = -0.163 Ha/atom
1.0
5.829 -3.464 0.000
5.829 3.464 0.000
-3.826 0.000 11.475
La Pr Er
2 2 10
Direct
0.026 0.974 0.750 La
0.974 0.026 0.250 La
0.000 0.500 0.000 Pr
0.500 0.000 0.500 Pr
0.139 0.418 0.744 Er
0.208 0.631 0.502 Er
0.369 0.792 0.998 Er
0.408 0.592 0.250 Er
0.418 0.139 0.244 Er
0.582 0.861 0.756 Er
0.592 0.408 0.750 Er
0.631 0.208 0.002 Er
0.792 0.369 0.498 Er
0.861 0.582 0.256 Er

***

3.
BeTePb2 (PBE, relaxed); E_form (uncorrected) = 234 meV/atom; calculated density = 8263 kg/m3; space-group type = Cmm2; energy relative to the lowest polymorph listed for this composition = 0.0807 eV/atom; DFT total energy = -0.123 Ha/atom
1.0
3.770 0.000 0.000
0.000 6.182 0.000
0.000 0.000 9.502
Be Te Pb
2 2 4
Direct
0.000 0.000 0.000 Be
0.500 0.500 0.000 Be
0.000 0.500 0.849 Te
0.500 0.000 0.849 Te
0.000 0.000 0.525 Pb
0.000 0.500 0.218 Pb
0.500 0.000 0.218 Pb
0.500 0.500 0.525 Pb

***

4.
MnZnNi2Pd (PBE, relaxed); formation enthalpy at 0 K = 0.89 eV per atom; calculated density = 6593 kg/m3; space-group type = P4/mmm; DFT total energy = -0.167 Ha/atom
1.0
4.313 0.000 0.000
0.000 4.313 0.000
0.000 0.000 4.660
Mn Zn Ni Pd
1 1 2 1
Direct
0.000 0.000 0.000 Mn
0.500 0.500 0.500 Zn
0.000 0.500 0.000 Ni
0.500 0.000 0.000 Ni
0.000 0.000 0.500 Pd

***

5.
SrCo9P2 (PBE, relaxed); formation enthalpy at 0 K = -0.05 eV per atom; calculated density = 7141 kg/m3; space-group type = P6/mmm; DFT total energy = -0.236 Ha/atom
1.0
7.364 0.000 0.000
-3.682 6.378 0.000
0.000 0.000 3.366
Sr Co P
1 9 2
Direct
0.000 0.000 0.000 Sr
0.000 0.500 0.000 Co
0.211 0.422 0.500 Co
0.211 0.789 0.500 Co
0.422 0.211 0.500 Co
0.500 0.000 0.000 Co
0.500 0.500 0.000 Co
0.578 0.789 0.500 Co
0.789 0.211 0.500 Co
0.789 0.578 0.500 Co
0.333 0.667 0.000 P
0.667 0.333 0.000 P

***

6.
Tb5Tl4Ni (PBE, relaxed); formation enthalpy at 0 K = -0.19 eV per atom; calculated density = 9760 kg/m3; space-group type = I4/m; DFT total energy = -0.148 Ha/atom
1.0
-5.151 5.151 2.679
5.151 -5.151 2.679
5.151 5.151 -2.679
Tb Tl Ni
5 4 1
Direct
0.000 0.000 0.000 Tb
0.308 0.663 0.971 Tb
0.337 0.308 0.644 Tb
0.663 0.692 0.356 Tb
0.692 0.337 0.029 Tb
0.009 0.325 0.334 Tl
0.325 0.991 0.317 Tl
0.675 0.009 0.683 Tl
0.991 0.675 0.666 Tl
0.500 0.500 0.000 Ni

***

7.
ScCo2Ru (PBE, relaxed); formation enthalpy at 0 K = 0.31 eV per atom; calculated density = 7896 kg/m3; space-group type = R-3m; energy relative to the lowest polymorph listed for this composition = 0.4011 eV/atom; DFT total energy = -0.263 Ha/atom
1.0
2.753 0.000 0.000
-1.376 2.384 0.000
0.000 0.000 25.373
Sc Co Ru
3 6 3
Direct
0.000 0.000 0.000 Sc
0.333 0.667 0.667 Sc
0.667 0.333 0.333 Sc
0.000 0.000 0.247 Co
0.000 0.000 0.753 Co
0.333 0.667 0.420 Co
0.333 0.667 0.913 Co
0.667 0.333 0.087 Co
0.667 0.333 0.580 Co
0.000 0.000 0.500 Ru
0.333 0.667 0.167 Ru
0.667 0.333 0.833 Ru

***

8.
Sm3Ir2Rh7 (PBE, relaxed); formation enthalpy at 0 K = -0.50 eV per atom; calculated density = 11951 kg/m3; space-group type = R-3m; DFT total energy = -0.274 Ha/atom
1.0
2.657 1.534 8.842
-2.657 1.534 8.842
0.000 -3.068 8.842
Sm Ir Rh
3 2 7
Direct
0.000 0.000 0.000 Sm
0.139 0.139 0.139 Sm
0.861 0.861 0.861 Sm
0.333 0.333 0.333 Ir
0.667 0.667 0.667 Ir
0.082 0.581 0.581 Rh
0.419 0.419 0.918 Rh
0.419 0.918 0.419 Rh
0.500 0.500 0.500 Rh
0.581 0.082 0.581 Rh
0.581 0.581 0.082 Rh
0.918 0.419 0.419 Rh

***

9.
SrLiAg (PBE, relaxed); formation enthalpy at 0 K = -0.15 eV per atom; calculated density = 3693 kg/m3; space-group type = C2/m; energy relative to the lowest polymorph listed for this composition = 0.0733 eV/atom; DFT total energy = -0.084 Ha/atom
1.0
7.766 0.000 0.000
0.000 4.481 0.000
-0.009 0.000 10.461
Sr Li Ag
4 4 4
Direct
0.166 0.000 0.177 Sr
0.334 0.500 0.823 Sr
0.666 0.500 0.177 Sr
0.834 0.000 0.823 Sr
0.166 0.000 0.546 Li
0.334 0.500 0.454 Li
0.666 0.500 0.546 Li
0.834 0.000 0.454 Li
0.000 0.500 0.369 Ag
0.000 0.500 0.631 Ag
0.500 0.000 0.369 Ag
0.500 0.000 0.631 Ag

***

10.
Te2AsAuN (PBE, relaxed); E_form (uncorrected) = 861 meV/atom; calculated density = 7973 kg/m3; space-group type = P4/mmm; energy relative to the lowest polymorph listed for this composition = 0.0000 eV/atom; DFT total energy = -0.134 Ha/atom
1.0
5.612 0.000 0.000
0.000 5.612 0.000
0.000 0.000 3.578
Te As Au N
2 1 1 1
Direct
0.000 0.500 0.000 Te
0.500 0.000 0.000 Te
0.000 0.000 0.000 As
0.500 0.500 0.500 Au
0.000 0.000 0.500 N

***

11.
CeSm12Ru7 (PBE, relaxed); formation enthalpy at 0 K = -0.19 eV per atom; calculated density = 7824 kg/m3; space-group type = R-3; DFT total energy = -0.241 Ha/atom
1.0
7.347 4.242 3.010
-7.347 4.242 3.010
0.000 -8.484 3.010
Ce Sm Ru
1 12 7
Direct
0.000 0.000 0.000 Ce
0.098 0.245 0.660 Sm
0.133 0.424 0.345 Sm
0.245 0.660 0.098 Sm
0.340 0.902 0.755 Sm
0.345 0.133 0.424 Sm
0.424 0.345 0.133 Sm
0.576 0.655 0.867 Sm
0.655 0.867 0.576 Sm
0.660 0.098 0.245 Sm
0.755 0.340 0.902 Sm
0.867 0.576 0.655 Sm
0.902 0.755 0.340 Sm
0.042 0.948 0.718 Ru
0.052 0.282 0.958 Ru
0.282 0.958 0.052 Ru
0.500 0.500 0.500 Ru
0.718 0.042 0.948 Ru
0.948 0.718 0.042 Ru
0.958 0.052 0.282 Ru

***

12.
Ca2Zn2BiRh5 (PBE, relaxed); formation enthalpy at 0 K = -0.37 eV per atom; calculated density = 8733 kg/m3; space-group type = P4/mbm; DFT total energy = -0.187 Ha/atom
1.0
9.722 0.000 0.000
0.000 9.722 0.000
0.000 0.000 3.760
Ca Zn Bi Rh
4 4 2 10
Direct
0.175 0.325 0.000 Ca
0.325 0.825 0.000 Ca
0.675 0.175 0.000 Ca
0.825 0.675 0.000 Ca
0.122 0.622 0.000 Zn
0.378 0.122 0.000 Zn
0.622 0.878 0.000 Zn
0.878 0.378 0.000 Zn
0.000 0.000 0.000 Bi
0.500 0.500 0.000 Bi
0.000 0.500 0.500 Rh
0.067 0.789 0.500 Rh
0.211 0.067 0.500 Rh
0.289 0.567 0.500 Rh
0.433 0.289 0.500 Rh
0.500 0.000 0.500 Rh
0.567 0.711 0.500 Rh
0.711 0.433 0.500 Rh
0.789 0.933 0.500 Rh
0.933 0.211 0.500 Rh

***

> The lowest DFT total energy belongs to which entry?

Sm3Ir2Rh7

***

Repeat the eighth record exactly.
Sm3Ir2Rh7 (PBE, relaxed); formation enthalpy at 0 K = -0.50 eV per atom; calculated density = 11951 kg/m3; space-group type = R-3m; DFT total energy = -0.274 Ha/atom
1.0
2.657 1.534 8.842
-2.657 1.534 8.842
0.000 -3.068 8.842
Sm Ir Rh
3 2 7
Direct
0.000 0.000 0.000 Sm
0.139 0.139 0.139 Sm
0.861 0.861 0.861 Sm
0.333 0.333 0.333 Ir
0.667 0.667 0.667 Ir
0.082 0.581 0.581 Rh
0.419 0.419 0.918 Rh
0.419 0.918 0.419 Rh
0.500 0.500 0.500 Rh
0.581 0.082 0.581 Rh
0.581 0.581 0.082 Rh
0.918 0.419 0.419 Rh